one) VASP calculation (PBE) on a geometry-optimized Pm2SnAu3 structure.

Cell lengths 9.598, 9.056, 5.987 Å; angles 76.27, 66.43, 37.30 degrees
Atoms (fractional coordinates):
1 Pm 0.237 0.763 0.763
2 Pm 0.250 0.250 0.250
3 Pm 0.750 0.750 0.750
4 Pm 0.763 0.237 0.237
5 Sn 0.335 0.335 0.665
6 Sn 0.665 0.665 0.335
7 Au 0.168 0.168 0.832
8 Au 0.168 0.665 0.335
9 Au 0.335 0.832 0.168
10 Au 0.665 0.168 0.832
11 Au 0.832 0.335 0.665
12 Au 0.832 0.832 0.168

Properties
Magnetic moment in μB/atom: 0.00
DOS at the Fermi energy in states/eV/cell: 6.63
SG: Fmmm (69)

two) VASP calculation (PBE) on a geometry-optimized Pm2SnAu3 structure.

Cell lengths 3.628, 4.709, 8.426 Å; angles 90.00, 90.00, 90.00 degrees
Atoms (fractional coordinates):
1 Pm 0.000 0.000 0.000
2 Pm 0.000 0.500 0.461
3 Sn 0.500 0.500 0.808
4 Au 0.500 0.000 0.315
5 Au 0.500 0.000 0.644
6 Au 0.500 0.500 0.140

Properties
Magnetic moment in μB/atom: 0.00
DOS at the Fermi energy in states/eV/cell: 1.96
SG: Pmm2 (25)

It is one) that is the least stable of them.

one) VASP calculation (PBE) on a geometry-optimized PmSn2Au2 structure.

Cell lengths 4.596, 4.693, 11.408 Å; angles 90.00, 90.15, 90.00 degrees
Atoms (fractional coordinates):
1 Pm 0.237 0.250 0.270
2 Pm 0.763 0.750 0.730
3 Sn 0.292 0.750 0.982
4 Sn 0.308 0.250 0.631
5 Sn 0.692 0.750 0.369
6 Sn 0.708 0.250 0.018
7 Au 0.139 0.250 0.854
8 Au 0.199 0.750 0.511
9 Au 0.801 0.250 0.489
10 Au 0.861 0.750 0.146

Properties
Magnetic moment in μB/atom: 0.00
DOS at the Fermi energy in states/eV/cell: 3.46
SG: P2_1/m (11)

two) VASP calculation (PBE) on a geometry-optimized PmSn2Au2 structure.

Cell lengths 4.817, 4.822, 6.376 Å; angles 81.23, 89.84, 60.05 degrees
Atoms (fractional coordinates):
1 Pm 0.000 0.000 0.000
2 Sn 0.368 0.262 0.299
3 Sn 0.632 0.738 0.701
4 Au 0.303 0.396 0.748
5 Au 0.697 0.604 0.252

Properties
Magnetic moment in μB/atom: 0.00
DOS at the Fermi energy in states/eV/cell: 2.32
SG: P-1 (2)

It is one) that is the least stable of them.

one) VASP calculation (PBE) on a geometry-optimized PmSn2Au6 structure.

Cell lengths 8.606, 8.606, 5.870 Å; angles 95.63, 95.63, 114.97 degrees
Atoms (fractional coordinates):
1 Pm 0.179 0.821 0.750
2 Pm 0.821 0.179 0.250
3 Sn 0.253 0.440 0.045
4 Sn 0.440 0.253 0.545
5 Sn 0.560 0.747 0.455
6 Sn 0.747 0.560 0.955
7 Au 0.064 0.616 0.230
8 Au 0.098 0.155 0.656
9 Au 0.155 0.098 0.156
10 Au 0.248 0.497 0.545
11 Au 0.384 0.936 0.270
12 Au 0.497 0.248 0.045
13 Au 0.503 0.752 0.955
14 Au 0.616 0.064 0.730
15 Au 0.752 0.503 0.455
16 Au 0.845 0.902 0.844
17 Au 0.902 0.845 0.344
18 Au 0.936 0.384 0.770

Properties
Magnetic moment in μB/atom: 0.00
DOS at the Fermi energy in states/eV/cell: 8.10
SG: C2/c (15)

two) VASP calculation (PBE) on a geometry-optimized PmSn2Au6 structure.

Cell lengths 8.141, 8.141, 8.141 Å; angles 154.16, 120.12, 66.30 degrees
Atoms (fractional coordinates):
1 Pm 0.000 0.000 0.000
2 Sn 0.357 0.857 0.500
3 Sn 0.643 0.143 0.500
4 Au 0.006 0.678 0.329
5 Au 0.324 0.500 0.824
6 Au 0.349 0.678 0.671
7 Au 0.651 0.322 0.329
8 Au 0.676 0.500 0.176
9 Au 0.994 0.322 0.671

Properties
Magnetic moment in μB/atom: 0.00
DOS at the Fermi energy in states/eV/cell: 4.41
SG: Immm (71)

It is two) that is the least stable of them.

one) VASP calculation (PBE) on a geometry-optimized Pm2SnAu6 structure.

Cell lengths 6.537, 6.537, 5.449 Å; angles 90.00, 90.00, 120.00 degrees
Atoms (fractional coordinates):
1 Pm 0.333 0.667 0.175
2 Pm 0.667 0.333 0.825
3 Sn 0.000 0.000 0.000
4 Au 0.188 0.377 0.678
5 Au 0.188 0.812 0.678
6 Au 0.377 0.188 0.322
7 Au 0.623 0.812 0.678
8 Au 0.812 0.188 0.322
9 Au 0.812 0.623 0.322

Properties
Magnetic moment in μB/atom: 0.00
DOS at the Fermi energy in states/eV/cell: 1.93
SG: P-3m1 (164)

two) VASP calculation (PBE) on a geometry-optimized Pm2SnAu6 structure.

Cell lengths 8.373, 8.373, 3.453 Å; angles 90.10, 90.10, 57.70 degrees
Atoms (fractional coordinates):
1 Pm 0.164 0.164 0.000
2 Pm 0.836 0.836 0.000
3 Sn 0.500 0.500 0.000
4 Au 0.163 0.503 0.502
5 Au 0.172 0.828 0.500
6 Au 0.497 0.837 0.498
7 Au 0.503 0.163 0.502
8 Au 0.828 0.172 0.500
9 Au 0.837 0.497 0.498

Properties
Magnetic moment in μB/atom: 0.00
DOS at the Fermi energy in states/eV/cell: 4.13
SG: C2/m (12)

It is two) that is the least stable of them.

one) VASP calculation (PBE) on a geometry-optimized Pm2Sn3Au2 structure.

Cell lengths 6.020, 6.020, 7.134 Å; angles 96.06, 96.06, 43.46 degrees
Atoms (fractional coordinates):
1 Pm 0.115 0.115 0.319
2 Pm 0.885 0.885 0.681
3 Sn 0.196 0.196 0.846
4 Sn 0.500 0.500 0.000
5 Sn 0.804 0.804 0.154
6 Au 0.398 0.398 0.372
7 Au 0.602 0.602 0.628

Properties
Magnetic moment in μB/atom: 0.00
DOS at the Fermi energy in states/eV/cell: 3.59
SG: C2/m (12)

two) VASP calculation (PBE) on a geometry-optimized Pm2Sn3Au2 structure.

Cell lengths 10.624, 10.624, 7.259 Å; angles 90.00, 90.00, 154.34 degrees
Atoms (fractional coordinates):
1 Pm 0.032 0.968 0.750
2 Pm 0.161 0.839 0.250
3 Pm 0.839 0.161 0.750
4 Pm 0.968 0.032 0.250
5 Sn 0.196 0.804 0.750
6 Sn 0.429 0.571 0.545
7 Sn 0.429 0.571 0.955
8 Sn 0.571 0.429 0.045
9 Sn 0.571 0.429 0.455
10 Sn 0.804 0.196 0.250
11 Au 0.296 0.704 0.027
12 Au 0.296 0.704 0.473
13 Au 0.704 0.296 0.527
14 Au 0.704 0.296 0.973

Properties
Magnetic moment in μB/atom: 0.00
DOS at the Fermi energy in states/eV/cell: 6.14
SG: Cmcm (63)

It is one) that is the least stable of them.

one) VASP calculation (PBE) on a geometry-optimized TbPm3Au4 structure.

Cell lengths 3.666, 3.666, 14.731 Å; angles 90.00, 90.00, 90.00 degrees
Atoms (fractional coordinates):
1 Tb 0.000 0.000 0.000
2 Pm 0.000 0.000 0.248
3 Pm 0.000 0.000 0.500
4 Pm 0.000 0.000 0.752
5 Au 0.500 0.500 0.117
6 Au 0.500 0.500 0.375
7 Au 0.500 0.500 0.625
8 Au 0.500 0.500 0.883

Properties
Magnetic moment in μB/atom: 0.00
DOS at the Fermi energy in states/eV/cell: 4.58
SG: P4/mmm (123)

two) VASP calculation (PBE) on a geometry-optimized TbPm3Au4 structure.

Cell lengths 8.919, 8.919, 8.919 Å; angles 154.74, 133.16, 53.96 degrees
Atoms (fractional coordinates):
1 Tb 0.000 0.000 0.000
2 Pm 0.204 0.704 0.500
3 Pm 0.500 0.500 0.000
4 Pm 0.796 0.296 0.500
5 Au 0.167 0.872 0.295
6 Au 0.423 0.128 0.295
7 Au 0.577 0.872 0.705
8 Au 0.833 0.128 0.705

Properties
Magnetic moment in μB/atom: 0.00
DOS at the Fermi energy in states/eV/cell: 8.13
SG: Immm (71)

It is two) that is the least stable of them.

one) VASP calculation (PBE) on a geometry-optimized TbPm3Au2 structure.

Cell lengths 5.086, 9.222, 7.193 Å; angles 90.00, 90.00, 90.00 degrees
Atoms (fractional coordinates):
1 Tb 0.000 0.074 0.000
2 Tb 0.000 0.926 0.500
3 Pm 0.000 0.334 0.644
4 Pm 0.000 0.666 0.144
5 Pm 0.500 0.164 0.340
6 Pm 0.500 0.425 0.984
7 Pm 0.500 0.575 0.484
8 Pm 0.500 0.836 0.840
9 Au 0.000 0.343 0.228
10 Au 0.000 0.657 0.728
11 Au 0.500 0.151 0.755
12 Au 0.500 0.849 0.255

Properties
Magnetic moment in μB/atom: 0.00
DOS at the Fermi energy in states/eV/cell: 12.46
SG: Pmc2_1 (26)

two) VASP calculation (PBE) on a geometry-optimized TbPm3Au2 structure.

Cell lengths 8.757, 8.757, 8.757 Å; angles 131.51, 72.82, 129.25 degrees
Atoms (fractional coordinates):
1 Tb 0.000 0.000 0.000
2 Tb 0.500 0.500 0.000
3 Pm 0.019 0.250 0.769
4 Pm 0.250 0.750 0.500
5 Pm 0.481 0.250 0.231
6 Pm 0.519 0.750 0.769
7 Pm 0.750 0.250 0.500
8 Pm 0.981 0.750 0.231
9 Au 0.140 0.705 0.846
10 Au 0.360 0.205 0.565
11 Au 0.640 0.795 0.435
12 Au 0.860 0.295 0.154

Properties
Magnetic moment in μB/atom: 0.00
DOS at the Fermi energy in states/eV/cell: 16.43
SG: Ibam (72)

It is two) that is the least stable of them.

one) VASP calculation (PBE) on a geometry-optimized TbPm2Au structure.

Cell lengths 7.109, 10.069, 6.742 Å; angles 90.00, 90.00, 90.00 degrees
Atoms (fractional coordinates):
1 Tb 0.016 0.250 0.128
2 Tb 0.484 0.750 0.628
3 Tb 0.516 0.250 0.372
4 Tb 0.984 0.750 0.872
5 Pm 0.196 0.055 0.686
6 Pm 0.196 0.445 0.686
7 Pm 0.304 0.555 0.186
8 Pm 0.304 0.945 0.186
9 Pm 0.696 0.055 0.814
10 Pm 0.696 0.445 0.814
11 Pm 0.804 0.555 0.314
12 Pm 0.804 0.945 0.314
13 Au 0.098 0.750 0.454
14 Au 0.402 0.250 0.954
15 Au 0.598 0.750 0.046
16 Au 0.902 0.250 0.546

Properties
Magnetic moment in μB/atom: 0.00
DOS at the Fermi energy in states/eV/cell: 15.38
SG: Pnma (62)

two) VASP calculation (PBE) on a geometry-optimized TbPm2Au structure.

Cell lengths 5.497, 5.497, 3.715 Å; angles 90.00, 90.00, 90.00 degrees
Atoms (fractional coordinates):
1 Tb 0.000 0.000 0.000
2 Pm 0.000 0.500 0.500
3 Pm 0.500 0.000 0.500
4 Au 0.500 0.500 0.000

Properties
Magnetic moment in μB/atom: 0.00
DOS at the Fermi energy in states/eV/cell: 5.19
SG: P4/mmm (123)

It is two) that is the least stable of them.

one) VASP calculation (PBE) on a geometry-optimized Tb2PmAu structure.

Cell lengths 3.650, 3.650, 8.580 Å; angles 90.00, 90.00, 90.00 degrees
Atoms (fractional coordinates):
1 Tb 0.000 0.000 0.203
2 Tb 0.000 0.000 0.797
3 Pm 0.500 0.500 0.500
4 Au 0.500 0.500 0.000

Properties
Magnetic moment in μB/atom: 0.00
DOS at the Fermi energy in states/eV/cell: 5.88
SG: P4/mmm (123)

two) VASP calculation (PBE) on a geometry-optimized Tb2PmAu structure.

Cell lengths 10.337, 10.337, 10.337 Å; angles 20.69, 20.69, 20.69 degrees
Atoms (fractional coordinates):
1 Tb 0.236 0.236 0.236
2 Tb 0.764 0.764 0.764
3 Pm 0.000 0.000 0.000
4 Au 0.500 0.500 0.500

Properties
Magnetic moment in μB/atom: 0.00
DOS at the Fermi energy in states/eV/cell: 5.44
SG: R-3m (166)

three) VASP calculation (PBE) on a geometry-optimized Tb2PmAu structure.

Cell lengths 5.416, 5.416, 3.671 Å; angles 90.00, 90.00, 90.00 degrees
Atoms (fractional coordinates):
1 Tb 0.000 0.500 0.000
2 Tb 0.500 0.000 0.000
3 Pm 0.000 0.000 0.500
4 Au 0.500 0.500 0.500

Properties
Magnetic moment in μB/atom: 0.00
DOS at the Fermi energy in states/eV/cell: 4.91
SG: P4/mmm (123)

It is three) that is the least stable of them.

one) VASP calculation (PBE) on a geometry-optimized Tb2PmAu structure.

Cell lengths 6.523, 6.523, 7.822 Å; angles 90.00, 90.00, 135.22 degrees
Atoms (fractional coordinates):
1 Tb 0.144 0.856 0.534
2 Tb 0.144 0.856 0.966
3 Tb 0.856 0.144 0.034
4 Tb 0.856 0.144 0.466
5 Pm 0.453 0.547 0.750
6 Pm 0.547 0.453 0.250
7 Au 0.296 0.704 0.250
8 Au 0.704 0.296 0.750

Properties
Magnetic moment in μB/atom: 0.00
DOS at the Fermi energy in states/eV/cell: 10.47
SG: Cmcm (63)

two) VASP calculation (PBE) on a geometry-optimized Tb2PmAu structure.

Cell lengths 7.019, 10.012, 6.693 Å; angles 90.00, 90.00, 90.00 degrees
Atoms (fractional coordinates):
1 Tb 0.187 0.053 0.180
2 Tb 0.187 0.447 0.180
3 Tb 0.313 0.553 0.680
4 Tb 0.313 0.947 0.680
5 Tb 0.687 0.053 0.320
6 Tb 0.687 0.447 0.320
7 Tb 0.813 0.553 0.820
8 Tb 0.813 0.947 0.820
9 Pm 0.004 0.250 0.628
10 Pm 0.496 0.750 0.128
11 Pm 0.504 0.250 0.872
12 Pm 0.996 0.750 0.372
13 Au 0.105 0.750 0.935
14 Au 0.395 0.250 0.435
15 Au 0.605 0.750 0.565
16 Au 0.895 0.250 0.065

Properties
Magnetic moment in μB/atom: 0.00
DOS at the Fermi energy in states/eV/cell: 19.31
SG: Pnma (62)

three) VASP calculation (PBE) on a geometry-optimized Tb2PmAu structure.

Cell lengths 10.110, 10.110, 10.110 Å; angles 21.56, 21.56, 21.56 degrees
Atoms (fractional coordinates):
1 Tb 0.000 0.000 0.000
2 Tb 0.197 0.197 0.197
3 Pm 0.433 0.433 0.433
4 Au 0.598 0.598 0.598

Properties
Magnetic moment in μB/atom: 0.00
DOS at the Fermi energy in states/eV/cell: 5.17
SG: R3m (160)

It is three) that is the least stable of them.